No. 1
# PBE-GGA BaTcSe2N, relaxed
data_BaTcSe2N
_chemical_formula_sum 'Ba1 Tc1 Se2 N1'
_symmetry_space_group_name_H-M 'P 4/m m m'
_symmetry_Int_Tables_number 123
_symmetry_space_group_name_Hall '-P 4 2'
_cell_length_a 5.3289
_cell_length_b 5.3289
_cell_length_c 3.8458
_cell_angle_alpha 90.00
_cell_angle_beta 90.00
_cell_angle_gamma 90.00
loop_
_atom_site_label
_atom_site_type_symbol
_atom_site_fract_x
_atom_site_fract_y
_atom_site_fract_z
Ba1 Ba 0.0000 0.0000 0.0000
Tc1 Tc 0.5000 0.5000 0.5000
Se1 Se 0.0000 0.5000 0.5000
N1 N 0.5000 0.5000 0.0000
# M_tot: 1.1 Bohr magnetons per cell
# formation energy (no corrections): -0.58 eV per atom
# ΔE to the lowest computed polymorph: 0 meV per atom
# DOS(E_F): 0.50 states/eV per atom



No. 2
# PBE-GGA PbSe3, relaxed
data_PbSe3
_chemical_formula_sum 'Pb2 Se6'
_symmetry_space_group_name_H-M 'C m m m'
_symmetry_Int_Tables_number 65
_symmetry_space_group_name_Hall '-C 2 2'
_cell_length_a 3.9197
_cell_length_b 7.5133
_cell_length_c 7.9372
_cell_angle_alpha 90.00
_cell_angle_beta 90.00
_cell_angle_gamma 90.00
loop_
_atom_site_label
_atom_site_type_symbol
_atom_site_fract_x
_atom_site_fract_y
_atom_site_fract_z
Pb1 Pb 0.0000 0.0000 0.0000
Se1 Se 0.0000 0.0000 0.5000
Se2 Se 0.0000 0.5000 0.2740
# M_tot: 0.0 Bohr magnetons per cell
# formation energy (no corrections): 0.07 eV per atom
# DOS(E_F): 0.32 states/eV per atom



For each record above, in turn, the calculated raw total energy values are -6.09; -3.48 eV/atom.